(1)
KLiCr2: relaxed, GGA-PBE.

Unit cell a=10.9139 b=10.9139 c=10.9139 alpha=16.75 beta=16.75 gamma=16.75
Element x y z (fractional)
K 0.0000 0.0000 0.0000
Li 0.5000 0.5000 0.5000
Cr 0.2381 0.2381 0.2381
Cr 0.7619 0.7619 0.7619

Output
Space group ... R-3m (166)
ΔE_f ... 4.35 eV/f.u.



(2)
HfScAl2Te: relaxed, GGA-PBE.

Unit cell a=5.2123 b=5.2123 c=5.2660 alpha=90.00 beta=90.00 gamma=90.00
Element x y z (fractional)
Hf 0.0000 0.0000 0.0000
Sc 0.5000 0.5000 0.0000
Al 0.0000 0.5000 0.5000
Al 0.5000 0.0000 0.5000
Te 0.0000 0.0000 0.5000

Output
Space group ... P4/mmm (123)
E_form (uncorrected) ... 427 kJ/mol of formula units



(3)
SrLa2RhO6: relaxed, GGA-PBE.

Unit cell a=5.7415 b=6.1583 c=10.1608 alpha=90.00 beta=124.18 gamma=90.00
Element x y z (fractional)
Sr 0.0000 0.0000 0.0000
Sr 0.0000 0.5000 0.5000
La 0.2585 0.0560 0.7407
La 0.2585 0.4440 0.2407
La 0.7415 0.5560 0.7593
La 0.7415 0.9440 0.2593
Rh 0.5000 0.0000 0.5000
Rh 0.5000 0.5000 0.0000
O 0.1488 0.0718 0.2772
O 0.1488 0.4282 0.7772
O 0.2571 0.6696 0.0496
O 0.2571 0.8304 0.5496
O 0.4190 0.2233 0.0830
O 0.4190 0.2767 0.5830
O 0.5810 0.7233 0.4170
O 0.5810 0.7767 0.9170
O 0.7429 0.1696 0.4504
O 0.7429 0.3304 0.9504
O 0.8512 0.5718 0.2228
O 0.8512 0.9282 0.7228

Output
Space group ... P2_1/c (14)
E_form (uncorrected) ... -2379 kJ/mol of formula units



What is the formula in the second record? HfScAl2Te



Which formula does entry 1 have? KLiCr2